Record 1
AlZn2P: optimized geometry, PBE-GGA.

Cell and atoms, written as CIF:
```
data_AlZn2P
_cell_length_a 2.598
_cell_length_b 4.730
_cell_length_c 5.297
_cell_angle_alpha 90.00
_cell_angle_beta 101.39
_cell_angle_gamma 90.00
_symmetry_space_group_name_H-M 'P 1 2/m 1'
_symmetry_Int_Tables_number 10
loop_
_symmetry_equiv_pos_as_xyz
'x,y,z'
'-x,-y,-z'
'-x,y,-z'
'x,-y,z'
loop_
_atom_site_label
_atom_site_type_symbol
_atom_site_fract_x
_atom_site_fract_y
_atom_site_fract_z
Al1 Al 0.000 0.000 0.000
Zn1 Zn 0.181 0.500 0.761
P1 P 0.000 0.000 0.500
```

Computed properties:
Distance to the lowest polymorph of the same formula (eV/f.u.): 0.465
VASP energy (eV per cell): -11.1

---

Record 2
Al3ZnP: optimized geometry, PBE-GGA.

Cell and atoms, written as CIF:
```
data_Al3ZnP
_cell_length_a 4.641
_cell_length_b 4.641
_cell_length_c 4.641
_cell_angle_alpha 90.00
_cell_angle_beta 90.00
_cell_angle_gamma 90.00
_symmetry_space_group_name_H-M 'P m -3 m'
_symmetry_Int_Tables_number 221
_symmetry_space_group_name_Hall '-P 4 2 3'
loop_
_atom_site_label
_atom_site_type_symbol
_atom_site_fract_x
_atom_site_fract_y
_atom_site_fract_z
Al1 Al 0.000 0.000 0.500
Zn1 Zn 0.000 0.000 0.000
P1 P 0.500 0.500 0.500
```

Computed properties:
Distance to the lowest polymorph of the same formula (eV/f.u.): 0.565
VASP energy (eV per cell): -15.0

---

Record 3
Al2Zn2P: optimized geometry, PBE-GGA.

Cell and atoms, written as CIF:
```
data_Al2Zn2P
_cell_length_a 6.514
_cell_length_b 6.514
_cell_length_c 4.105
_cell_angle_alpha 90.00
_cell_angle_beta 90.00
_cell_angle_gamma 90.00
_symmetry_space_group_name_H-M 'P 4/m b m'
_symmetry_Int_Tables_number 127
_symmetry_space_group_name_Hall '-P 4 2ab'
loop_
_atom_site_label
_atom_site_type_symbol
_atom_site_fract_x
_atom_site_fract_y
_atom_site_fract_z
Al1 Al 0.151 0.349 0.000
Zn1 Zn 0.154 0.654 0.500
P1 P 0.000 0.000 0.000
```

Computed properties:
Distance to the lowest polymorph of the same formula (eV/f.u.): 0.000
VASP energy (eV per cell): -29.2

---

Record 4
AlZn2P: optimized geometry, PBE-GGA.

Cell and atoms, written as CIF:
```
data_AlZn2P
_cell_length_a 3.404
_cell_length_b 3.531
_cell_length_c 11.234
_cell_angle_alpha 90.00
_cell_angle_beta 90.00
_cell_angle_gamma 90.00
_symmetry_space_group_name_H-M 'I m m m'
_symmetry_Int_Tables_number 71
_symmetry_space_group_name_Hall '-I 2 2'
loop_
_atom_site_label
_atom_site_type_symbol
_atom_site_fract_x
_atom_site_fract_y
_atom_site_fract_z
Al1 Al 0.000 0.000 0.000
Zn1 Zn 0.000 0.500 0.199
P1 P 0.000 0.000 0.500
```

Computed properties:
Distance to the lowest polymorph of the same formula (eV/f.u.): 0.000
VASP energy (eV per cell): -23.1

---

Record 5
AlZn2P: optimized geometry, PBE-GGA.

Cell and atoms, written as CIF:
```
data_AlZn2P
_cell_length_a 2.887
_cell_length_b 2.887
_cell_length_c 7.491
_cell_angle_alpha 90.00
_cell_angle_beta 90.00
_cell_angle_gamma 90.00
_symmetry_space_group_name_H-M 'P 4 m m'
_symmetry_Int_Tables_number 99
loop_
_symmetry_equiv_pos_as_xyz
'x,y,z'
'-y,x,z'
'-x,-y,z'
'y,-x,z'
'-x,y,z'
'y,x,z'
'x,-y,z'
'-y,-x,z'
loop_
_atom_site_label
_atom_site_type_symbol
_atom_site_fract_x
_atom_site_fract_y
_atom_site_fract_z
Al1 Al 0.000 0.000 0.000
Zn1 Zn 0.000 0.000 0.493
Zn2 Zn 0.500 0.500 0.742
P1 P 0.500 0.500 0.233
```

Computed properties:
Distance to the lowest polymorph of the same formula (eV/f.u.): 0.491
VASP energy (eV per cell): -11.0

---

Record 6
Al3ZnP: optimized geometry, PBE-GGA.

Cell and atoms, written as CIF:
```
data_Al3ZnP
_cell_length_a 4.708
_cell_length_b 4.708
_cell_length_c 4.708
_cell_angle_alpha 90.00
_cell_angle_beta 90.00
_cell_angle_gamma 90.00
_symmetry_space_group_name_H-M 'P m -3 m'
_symmetry_Int_Tables_number 221
_symmetry_space_group_name_Hall '-P 4 2 3'
loop_
_atom_site_label
_atom_site_type_symbol
_atom_site_fract_x
_atom_site_fract_y
_atom_site_fract_z
Al1 Al 0.000 0.000 0.500
Zn1 Zn 0.500 0.500 0.500
P1 P 0.000 0.000 0.000
```

Computed properties:
Distance to the lowest polymorph of the same formula (eV/f.u.): 0.000
VASP energy (eV per cell): -15.5

---

Record 7
AlZn2P: optimized geometry, PBE-GGA.

Cell and atoms, written as CIF:
```
data_AlZn2P
_cell_length_a 10.339
_cell_length_b 2.661
_cell_length_c 4.765
_cell_angle_alpha 90.00
_cell_angle_beta 107.30
_cell_angle_gamma 90.00
_symmetry_space_group_name_H-M 'C 1 2/m 1'
_symmetry_Int_Tables_number 12
loop_
_symmetry_equiv_pos_as_xyz
'x,y,z'
'-x,-y,-z'
'-x,y,-z'
'x,-y,z'
'x+1/2,y+1/2,z'
'-x+1/2,-y+1/2,-z'
'-x+1/2,y+1/2,-z'
'x+1/2,-y+1/2,z'
loop_
_atom_site_label
_atom_site_type_symbol
_atom_site_fract_x
_atom_site_fract_y
_atom_site_fract_z
Al1 Al 0.000 0.000 0.000
Zn1 Zn 0.248 0.000 0.749
P1 P 0.000 0.500 0.500
```

Computed properties:
Distance to the lowest polymorph of the same formula (eV/f.u.): 0.386
VASP energy (eV per cell): -22.3

---

Record 8
AlZn2P: optimized geometry, PBE-GGA.

Cell and atoms, written as CIF:
```
data_AlZn2P
_cell_length_a 2.758
_cell_length_b 3.755
_cell_length_c 6.099
_cell_angle_alpha 90.00
_cell_angle_beta 90.00
_cell_angle_gamma 90.00
_symmetry_space_group_name_H-M 'P m m 2'
_symmetry_Int_Tables_number 25
loop_
_symmetry_equiv_pos_as_xyz
'x,y,z'
'-x,-y,z'
'-x,y,z'
'x,-y,z'
loop_
_atom_site_label
_atom_site_type_symbol
_atom_site_fract_x
_atom_site_fract_y
_atom_site_fract_z
Al1 Al 0.000 0.000 0.000
Zn1 Zn 0.000 0.000 0.502
Zn2 Zn 0.500 0.500 0.720
P1 P 0.500 0.500 0.191
```

Computed properties:
Distance to the lowest polymorph of the same formula (eV/f.u.): 0.386
VASP energy (eV per cell): -11.1

---

The calculation returns the following formation energy values, one per record and in order: 0.16; 0.59; 0.17; 0.04; 0.17; 0.48; 0.14; 0.14 eV per atom.